Entry from Alexandria via LeMat-Bulk: crystalline Ti5Pd at its relaxed geometry (PBE-GGA).

Results
Calculated total energy   -7.62 eV/atom
Volume   100 Å³/cell
Magnetization   0.000 μB/cell

```
Ti5Pd
1.0
3.075 0.000 0.000
0.000 3.075 0.000
0.000 0.000 10.584
Ti Pd
5 1
Direct
0.000 0.000 0.000 Ti
0.000 0.000 0.343 Ti
0.000 0.000 0.657 Ti
0.500 0.500 0.177 Ti
0.500 0.500 0.823 Ti
0.500 0.500 0.500 Pd
```